<1>
# TlTeOs

A relaxed TlTeOs crystal (PBE, Alexandria).

Cell and atoms, written as CIF:
```
data_TlTeOs
_cell_length_a 4.6774
_cell_length_b 4.6774
_cell_length_c 3.5023
_cell_angle_alpha 90.00
_cell_angle_beta 90.00
_cell_angle_gamma 120.00
_symmetry_space_group_name_H-M 'P -6 m 2'
_symmetry_Int_Tables_number 187
_symmetry_space_group_name_Hall 'P -6 2'
loop_
_atom_site_label
_atom_site_type_symbol
_atom_site_fract_x
_atom_site_fract_y
_atom_site_fract_z
Tl1 Tl 0.0000 0.0000 0.0000
Te1 Te 0.6667 0.3333 0.5000
Os1 Os 0.3333 0.6667 0.5000
```

Values from the calculation:
V ... 22.119 Å³ per atom
Total moment ... 0.000 μB/atom

***

<2>
# TlTeOs

A relaxed TlTeOs crystal (PBE, Alexandria).

Cell and atoms, written as CIF:
```
data_TlTeOs
_cell_length_a 3.222
_cell_length_b 5.409
_cell_length_c 16.449
_cell_angle_alpha 90.00
_cell_angle_beta 90.00
_cell_angle_gamma 90.00
_symmetry_space_group_name_H-M 'F m m 2'
_symmetry_Int_Tables_number 42
_symmetry_space_group_name_Hall 'F 2 -2'
loop_
_atom_site_label
_atom_site_type_symbol
_atom_site_fract_x
_atom_site_fract_y
_atom_site_fract_z
Tl1 Tl 0.000 0.000 0.000
Te1 Te 0.000 0.000 0.724
Os1 Os 0.000 0.000 0.349
```

Values from the calculation:
V ... 23.888 Å³ per atom
Total moment ... 0.000 μB/atom

***

<3>
# TlTeOs

A relaxed TlTeOs crystal (PBE, Alexandria).

Cell and atoms, written as CIF:
```
data_TlTeOs
_cell_length_a 6.549
_cell_length_b 6.549
_cell_length_c 6.549
_cell_angle_alpha 90.00
_cell_angle_beta 90.00
_cell_angle_gamma 90.00
_symmetry_space_group_name_H-M 'F -4 3 m'
_symmetry_Int_Tables_number 216
_symmetry_space_group_name_Hall 'F -4 2 3'
loop_
_atom_site_label
_atom_site_type_symbol
_atom_site_fract_x
_atom_site_fract_y
_atom_site_fract_z
Tl1 Tl 0.000 0.000 0.000
Te1 Te 0.000 0.000 0.500
Os1 Os 0.250 0.250 0.250
```

Values from the calculation:
V ... 23.409 Å³ per atom
Total moment ... 0.000 μB/atom

***

Unit: eV/atom. Relative energies: <1> 0.204; <2> 0.134; <3> 0.000.